4
Lattice="-1.593 2.729 5.831 1.593 -2.729 5.831 1.593 2.729 -5.831" Properties=species:S:1:pos:R:3 comment="LiSnHg2 (GGA-PBE, optimized geometry)" final_energy_ev_per_atom=-1.688 dos_at_fermi_per_ev_cell=1.3 pbc="T T T"
Li 0.000 0.000 0.000
Sn 0.000 0.000 5.831
Hg 0.000 0.000 2.759
Hg 0.000 0.000 8.902